Below is an optimized crystal structure of K2PdPt, with properties calculated at the PBE-GGA level.

Structure (POSCAR):
```
K2PdPt
1.0
0.000 3.731 3.731
3.731 0.000 3.731
3.731 3.731 0.000
K Pd Pt
2 1 1
direct
0.250 0.250 0.250
0.750 0.750 0.750
0.000 0.000 0.000
0.500 0.500 0.500
```

polymorph energy (0 for the lowest one) = 2 meV per atom
symmetry = No. 225
DOS at the Fermi energy = 1.53 states/eV per cell

---

Below is an optimized crystal structure of KPd2Pt, with properties calculated at the PBE-GGA level.

Structure (POSCAR):
```
KPd2Pt
1.0
4.124 -1.532 -1.688
2.279 -3.506 2.172
0.284 -4.241 -2.034
K Pd Pt
1 2 1
direct
0.000 0.000 0.000
0.250 0.250 0.250
0.750 0.750 0.750
0.500 0.500 0.500
```

polymorph energy (0 for the lowest one) = 90 meV per atom
symmetry = No. 225
DOS at the Fermi energy = 7.32 states/eV per cell

---

Below is an optimized crystal structure of KPdPt2, with properties calculated at the PBE-GGA level.

Structure (POSCAR):
```
KPdPt2
1.0
-2.377 0.564 -4.232
1.367 -4.488 -1.366
-7.963 -5.371 0.935
K Pd Pt
2 2 4
direct
0.500 0.500 0.000
0.250 0.750 0.500
0.000 0.000 0.000
0.750 0.250 0.500
0.808 0.125 0.250
0.942 0.625 0.250
0.375 0.192 0.750
0.875 0.058 0.750
```

electronic total energy = -4.3185 eV per atom
symmetry = No. 122
DOS at the Fermi energy = 5.64 states/eV per cell

---

Below is an optimized crystal structure of K2Sb3PdPt4, with properties calculated at the PBE-GGA level.

Structure (POSCAR):
```
K2Sb3PdPt4
1.0
4.655 0.000 0.000
0.000 4.655 0.000
0.000 0.000 10.682
K Sb Pd Pt
2 3 1 4
direct
0.500 0.000 0.256
0.000 0.500 0.744
0.000 0.000 0.500
0.500 0.000 0.873
0.000 0.500 0.127
0.500 0.500 0.500
0.500 0.500 0.000
0.000 0.000 0.000
0.500 0.000 0.627
0.000 0.500 0.373
```

electronic total energy = -4.7646 eV per atom
symmetry = No. 115
DOS at the Fermi energy = 8.62 states/eV per cell

---

Below is an optimized crystal structure of KSb2PdPt, with properties calculated at the PBE-GGA level.

Structure (POSCAR):
```
KSb2PdPt
1.0
-0.666 -4.516 1.119
2.868 -1.288 -3.494
3.415 3.134 4.810
K Sb Pd Pt
1 2 1 1
direct
0.000 0.000 0.000
0.640 0.640 0.279
0.360 0.360 0.721
0.250 0.750 0.500
0.750 0.250 0.500
```

electronic total energy = -4.5783 eV per atom
symmetry = No. 119
DOS at the Fermi energy = 2.18 states/eV per cell

---

Below is an optimized crystal structure of K2Sb2PdPt, with properties calculated at the PBE-GGA level.

Structure (POSCAR):
```
K2Sb2PdPt
1.0
6.754 0.000 0.000
0.000 6.842 0.000
-3.377 -3.421 7.588
K Sb Pd Pt
4 4 2 2
direct
0.416 0.169 0.337
0.584 0.831 0.663
0.079 0.331 0.663
0.921 0.669 0.337
0.827 0.081 0.163
0.336 0.581 0.163
0.664 0.419 0.837
0.173 0.919 0.837
0.000 0.750 0.000
0.000 0.250 0.000
0.500 0.750 0.000
0.500 0.250 0.000
```

electronic total energy = -4.0596 eV per atom
symmetry = No. 72
DOS at the Fermi energy = 8.61 states/eV per cell

---

Below is an optimized crystal structure of K2Tl6PdPt, with properties calculated at the PBE-GGA level.

Structure (POSCAR):
```
K2Tl6PdPt
1.0
-1.046 -7.744 0.289
6.188 -4.778 0.164
1.739 -3.738 11.943
K Tl Pd Pt
4 12 2 2
direct
0.873 0.873 0.380
0.127 0.127 0.620
0.705 0.705 0.884
0.295 0.295 0.116
0.907 0.357 0.379
0.357 0.907 0.379
0.357 0.357 0.379
0.093 0.643 0.621
0.643 0.093 0.621
0.643 0.643 0.621
0.721 0.208 0.863
0.208 0.721 0.863
0.208 0.208 0.863
0.279 0.792 0.137
0.792 0.279 0.137
0.792 0.792 0.137
0.000 0.000 0.000
0.500 0.500 0.500
0.581 0.581 0.256
0.419 0.419 0.744
```

electronic total energy = -2.8618 eV per atom
symmetry = No. 166
DOS at the Fermi energy = 11.44 states/eV per cell

---

Below is an optimized crystal structure of KTl4PdPt2, with properties calculated at the PBE-GGA level.

Structure (POSCAR):
```
KTl4PdPt2
1.0
-2.026 -3.361 -2.567
2.061 -1.511 -3.932
5.222 -9.020 3.406
K Tl Pd Pt
1 4 1 2
direct
0.000 0.000 0.000
0.403 0.403 0.791
0.868 0.868 0.397
0.132 0.132 0.603
0.597 0.597 0.209
0.500 0.500 0.500
0.773 0.773 0.680
0.227 0.227 0.320
```

electronic total energy = -3.6010 eV per atom
symmetry = No. 166
DOS at the Fermi energy = 2.38 states/eV per cell

---

Below is an optimized crystal structure of KPuPd4, with properties calculated at the PBE-GGA level.

Structure (POSCAR):
```
KPuPd4
1.0
5.520 0.000 0.000
2.760 4.780 0.000
2.760 1.593 4.507
K Pd Pu
1 4 1
direct
0.000 0.000 0.000
0.625 0.625 0.126
0.625 0.126 0.625
0.625 0.625 0.625
0.126 0.625 0.625
0.250 0.250 0.250
```

electronic total energy = -6.2756 eV per atom
symmetry = No. 216
DOS at the Fermi energy = 20.28 states/eV per cell

---

Below is an optimized crystal structure of KPu2Sb2Pd2, with properties calculated at the PBE-GGA level.

Structure (POSCAR):
```
KPu2Sb2Pd2
1.0
-2.464 -2.779 2.931
1.883 -4.050 1.562
3.615 2.464 9.195
K Pu Sb Pd
1 2 2 2
direct
0.000 0.000 0.000
0.144 0.144 0.567
0.856 0.856 0.433
0.749 0.749 0.753
0.251 0.251 0.247
0.554 0.554 0.338
0.446 0.446 0.662
```

electronic total energy = -7.4554 eV per atom
symmetry = No. 166
DOS at the Fermi energy = 15.61 states/eV per cell

---

Below is an optimized crystal structure of K3Pu3PdSe8, with properties calculated at the PBE-GGA level.

Structure (POSCAR):
```
K3Pu3PdSe8
1.0
-1.357 6.596 4.741
-6.226 -3.432 -4.159
3.118 -4.581 7.265
K Pu Pd Se
3 3 1 8
direct
0.000 0.000 0.000
0.000 0.500 0.000
0.500 0.500 0.000
0.500 0.000 0.500
0.500 0.500 0.500
0.000 0.500 0.500
0.000 0.000 0.500
0.264 0.529 0.293
0.736 0.471 0.707
0.779 0.557 0.309
0.221 0.443 0.691
0.779 0.030 0.309
0.221 0.970 0.691
0.251 0.030 0.309
0.749 0.970 0.691
```

electronic total energy = -6.4715 eV per atom
symmetry = No. 166
DOS at the Fermi energy = 29.14 states/eV per cell

---

Below is an optimized crystal structure of K4Pu3PdSe8, with properties calculated at the PBE-GGA level.

Structure (POSCAR):
```
K4Pu3PdSe8
1.0
-6.553 -4.603 -1.888
4.601 -7.438 2.164
-0.770 5.999 5.974
K Pu Pd Se
4 3 1 8
direct
0.500 0.000 0.000
0.500 0.000 0.500
0.000 0.000 0.000
0.000 0.000 0.500
0.500 0.500 0.000
0.500 0.500 0.500
0.000 0.500 0.500
0.000 0.500 0.000
0.209 0.684 0.963
0.259 0.722 0.518
0.269 0.294 0.537
0.755 0.684 0.963
0.245 0.316 0.037
0.731 0.706 0.463
0.741 0.278 0.482
0.791 0.316 0.037
```

electronic total energy = -6.2494 eV per atom
symmetry = No. 12
DOS at the Fermi energy = 28.65 states/eV per cell

---

Question: Which formula does entry 5 have?
Answer: KSb2PdPt

---

Question: Look up the DOS at the Fermi energy of the seventh one.
Answer: 11.44 states/eV per cell

---

Question: Look up the DOS at the Fermi energy of the ninth one.
Answer: 20.28 states/eV per cell

---

Question: Look up the DOS at the Fermi energy of the third one.
Answer: 5.64 states/eV per cell